The following is a DFT calculation (PBE-GGA) of a geometry-optimized Na4Sm3ErS8 structure.

Unit cell a=8.0915 b=8.1619 c=8.0915 alpha=119.72 beta=120.00 gamma=90.00
Fractional coordinates of all 16 atoms:
Na: 0.5000 0.0000 0.0000
Na: 0.5000 0.0000 0.5000
Na: 0.0000 0.0000 0.0000
Na: 0.0000 0.0000 0.5000
Sm: 0.5000 0.5000 0.0000
Sm: 0.5000 0.5000 0.5000
Sm: 0.0000 0.5000 0.5000
Er: 0.0000 0.5000 0.0000
S: 0.2395 0.7285 0.9892
S: 0.2395 0.7284 0.4790
S: 0.2560 0.2682 0.5120
S: 0.7496 0.7285 0.9892
S: 0.2504 0.2715 0.0108
S: 0.7440 0.7318 0.4880
S: 0.7605 0.2716 0.5210
S: 0.7605 0.2715 0.0108

Raw total energy: -5.39 eV/atom